! Pr2NdHo4Tm (PBE, optimized geometry); values from VASP
! Size of the total moment   0.1 μB per formula unit
! Energy of formation   316 kJ/mol of formula units
! Space-group type   Imma, No. 74
&SYSTEM
  ibrav = 0, nat = 16, ntyp = 4
/
ATOMIC_SPECIES
Pr 140.91 Pr.upf
Nd 144.24 Nd.upf
Ho 164.93 Ho.upf
Tm 168.93 Tm.upf
CELL_PARAMETERS angstrom
-3.405 5.944 6.632
3.405 -5.944 6.632
3.405 5.944 -6.632
ATOMIC_POSITIONS crystal
Pr 0.000 0.000 0.000
Pr 0.500 0.000 0.000
Pr 0.500 0.000 0.500
Pr 0.500 0.500 0.500
Nd 0.000 0.500 0.500
Nd 0.500 0.500 0.000
Ho 0.243 0.243 0.500
Ho 0.243 0.250 0.993
Ho 0.243 0.743 0.000
Ho 0.243 0.750 0.493
Ho 0.757 0.250 0.507
Ho 0.757 0.257 0.000
Ho 0.757 0.750 0.007
Ho 0.757 0.757 0.500
Tm 0.000 0.000 0.500
Tm 0.000 0.500 0.000